Here is Ho2ErFe9 after structural relaxation from the Open Quantum Materials Database. Energies are from GGA-PBE.

Properties
ΔH_f (0 K), eV per atom: -0.09
Space-group type: R-3m

abc: 8.528 8.528 8.528
angles: 34.30 34.30 34.30
Last column: magnetic moment on the atom in μB.
Positions (direct):
Ho 0.858 0.858 0.858  -0.55
Fe 0.333 0.333 0.333  2.15
Fe 0.081 0.581 0.581  1.84
Er 0.000 0.000 0.000  -0.45
Fe 0.419 0.419 0.919  1.87
Ho 0.142 0.142 0.142  -0.55
Fe 0.581 0.581 0.081  1.87
Fe 0.919 0.419 0.419  1.84
Fe 0.500 0.500 0.500  1.73
Fe 0.667 0.667 0.667  2.15
Fe 0.419 0.919 0.419  1.96
Fe 0.581 0.081 0.581  1.96